VASP calculation (PBE) on a geometry-optimized LuCuNiPb structure.

Structure (CIF):
```
data_LuCuNiPb
_space_group_name_H-M_alt 'P 1'
_space_group_IT_number 1
_space_group_name_Hall 'P 1'
_cell_length_a 4.6916
_cell_length_b 4.6916
_cell_length_c 4.6916
_cell_angle_alpha 60.00
_cell_angle_beta 60.00
_cell_angle_gamma 60.00
loop_
_atom_site_label
_atom_site_fract_x
_atom_site_fract_y
_atom_site_fract_z
Lu1 0.0000 0.0000 0.0000
Cu1 0.2500 0.2500 0.2500
Ni1 0.5000 0.5000 0.5000
Pb1 0.7500 0.7500 0.7500
```

Summary:
energy above the lowest structure with this stoichiometry: 194 meV per atom
spin magnetization: 0.00 μB per formula unit
total energy: -4.41 eV per atom